1.
VASP calculation (GGA-PBE) on Ti2Be9W after structural relaxation.

- Total magnetization: 0.7 μB per formula unit
- V: 9.9 Å³/atom

a b c (Å): 7.412 7.412 7.412
angles (deg): 34.84 34.84 34.84
Element x y z (fractional)
Ti  0.139  0.139  0.139
Ti  0.861  0.861  0.861
Be  0.077  0.581  0.581
Be  0.334  0.334  0.334
Be  0.419  0.419  0.923
Be  0.419  0.923  0.419
Be  0.500  0.500  0.500
Be  0.581  0.077  0.581
Be  0.581  0.581  0.077
Be  0.666  0.666  0.666
Be  0.923  0.419  0.419
W  0.000  0.000  0.000

2.
VASP calculation (GGA-PBE) on CePm3Ir after structural relaxation.

- Total magnetization: 1.2 μB per formula unit
- V: 31.8 Å³/atom

a b c (Å): 7.408 7.408 8.318
angles (deg): 123.34 123.34 73.73
Element x y z (fractional)
Ce  0.051  0.051  0.349
Ce  0.949  0.949  0.651
Pm  0.047  0.440  0.203
Pm  0.440  0.047  0.203
Pm  0.444  0.444  0.733
Pm  0.556  0.556  0.267
Pm  0.560  0.953  0.797
Pm  0.953  0.560  0.797
Ir  0.244  0.244  0.875
Ir  0.756  0.756  0.125

Record order is preserved below.
DFT formation energy: -0.214 -0.295 eV/atom
Record order is preserved below.
Ρ: 5.05 8.00 g/cm³
Record order is preserved below.
Electronic total energy: -64.85 -61.04 eV for the cell shown